1.
VASP calculation (GGA-PBE) on a relaxed structure of Ho3TlHg.

Unit cell a=5.1195 b=5.1194 c=10.8119 alpha=90.00 beta=76.31 gamma=90.00
With the nearest neighbours (Å) after each atom.
Positions (direct):
Ho1 0.2655 0.7500 0.1174  2 Hg 3.24, 2 Tl 3.27, 8 Ho 3.55-3.62
Ho2 0.0741 0.7500 0.5002  4 Tl 3.24, 4 Hg 3.27, 4 Ho 3.62
Ho3 0.7654 0.2500 0.1176  2 Hg 3.24, 2 Tl 3.27, 8 Ho 3.56-3.62
Ho4 0.5743 0.2500 0.4998  4 Tl 3.24, 4 Hg 3.27, 4 Ho 3.62
Ho5 0.8830 0.7500 0.8824  2 Hg 3.24, 2 Tl 3.27, 8 Ho 3.56-3.62
Ho6 0.3829 0.2500 0.8826  2 Hg 3.24, 2 Tl 3.27, 8 Ho 3.55-3.62
Hg1 0.1710 0.2500 0.3064  8 Ho 3.24-3.27, 4 Tl 3.62
Hg2 0.4774 0.7500 0.6936  8 Ho 3.24-3.27, 4 Tl 3.62
Tl1 0.6686 0.7500 0.3112  8 Ho 3.24-3.27, 4 Hg 3.62
Tl2 0.9798 0.2500 0.6888  8 Ho 3.24-3.27, 4 Hg 3.62

Values from the calculation:
**Space group**: Cmcm, No. 63

2.
VASP calculation (GGA-PBE) on a relaxed structure of HoTlHg2.

Unit cell a=3.8502 b=3.8502 c=7.0621 alpha=90.00 beta=90.00 gamma=90.00
With the nearest neighbours (Å) after each atom.
Positions (direct):
Ho1 0.5000 0.5000 0.0000  8 Hg 3.18, 2 Tl 3.53
Hg1 0.0000 0.0000 0.7667  4 Ho 3.18, 1 Hg 3.29, 4 Tl 3.31
Hg2 0.0000 0.0000 0.2333  4 Ho 3.18, 1 Hg 3.29, 4 Tl 3.31
Tl1 0.5000 0.5000 0.5000  8 Hg 3.31, 2 Ho 3.53

Values from the calculation:
**Space group**: P4/mmm, No. 123

| no. | raw total energy (eV per formula unit) |
| --- | --- |
| 1 | -17.946 |
| 2 | -8.530 |